No. 1
A plane-wave DFT calculation with meta-GGA SCAN was carried out for ReO2 at its PBEsol-relaxed geometry.

a = 4.8927 Å, b = 4.8927 Å, c = 2.6928 Å
α = 90.00°, β = 90.00°, γ = 90.00°
Element x y z (fractional)
Re1 0.0000 0.0000 0.0000
Re2 0.5000 0.5000 0.5000
O1 0.2184 0.2184 0.5000
O2 0.2816 0.7184 0.0000
O3 0.7184 0.2816 0.0000
O4 0.7816 0.7816 0.5000

Calculated values
* raw formation energy: -1371 meV per atom
* magnetization: 0.00 μB/f.u.
* uncorrected energy: -29.22 eV/atom

=====

No. 2
A plane-wave DFT calculation with meta-GGA SCAN was carried out for ReO2 at its PBEsol-relaxed geometry.

a = 5.5044 Å, b = 4.8488 Å, c = 5.5819 Å
α = 90.00°, β = 119.64°, γ = 90.00°
Element x y z (fractional)
Re1 0.2335 0.0049 0.2187
Re2 0.2335 0.4951 0.7187
Re3 0.7665 0.5049 0.2813
Re4 0.7665 0.9951 0.7813
O1 0.1116 0.7147 0.3754
O2 0.1116 0.7853 0.8754
O3 0.3917 0.1940 0.5890
O4 0.3917 0.3060 0.0890
O5 0.6083 0.6940 0.9110
O6 0.6083 0.8060 0.4110
O7 0.8884 0.2147 0.1246
O8 0.8884 0.2853 0.6246

Calculated values
* raw formation energy: -1434 meV per atom
* magnetization: 0.00 μB/f.u.
* uncorrected energy: -29.29 eV/atom

=====

No. 3
A plane-wave DFT calculation with meta-GGA SCAN was carried out for ReRhO2 at its PBEsol-relaxed geometry.

a = 3.8569 Å, b = 3.8569 Å, c = 3.8569 Å
α = 60.00°, β = 60.00°, γ = 60.00°
Element x y z (fractional)
Re1 0.0000 0.0000 0.0000
Rh1 0.5000 0.5000 0.5000
O1 0.2500 0.2500 0.2500
O2 0.7500 0.7500 0.7500

Calculated values
* energy above the lowest structure with this stoichiometry: 375.0 kJ/mol of formula units
* raw formation energy: 495 meV per atom
* magnetization: 0.00 μB/f.u.
* uncorrected energy: -28.84 eV/atom

=====

No. 4
A plane-wave DFT calculation with meta-GGA SCAN was carried out for ReRhO2 at its PBEsol-relaxed geometry.

a = 6.5917 Å, b = 6.5917 Å, c = 6.5917 Å
α = 24.99°, β = 24.99°, γ = 24.99°
Element x y z (fractional)
Re1 0.0000 0.0000 0.0000
Rh1 0.5000 0.5000 0.5000
O1 0.1037 0.1037 0.1037
O2 0.8963 0.8963 0.8963

Calculated values
* energy above the lowest structure with this stoichiometry: 0.0 kJ/mol of formula units
* raw formation energy: -476 meV per atom
* magnetization: 0.00 μB/f.u.
* uncorrected energy: -29.81 eV/atom

=====

No. 5
A plane-wave DFT calculation with meta-GGA SCAN was carried out for Re2S2O13 at its PBEsol-relaxed geometry.

a = 8.4848 Å, b = 9.6785 Å, c = 6.1553 Å
α = 90.00°, β = 90.00°, γ = 90.00°
Element x y z (fractional)
Re1 0.1762 0.1085 0.0000
Re2 0.3238 0.6085 0.0000
Re3 0.6762 0.3915 0.0000
Re4 0.8238 0.8915 0.0000
S1 0.1373 0.8250 0.3181
S2 0.3627 0.3250 0.3181
S3 0.6373 0.6750 0.3181
S4 0.8627 0.1750 0.3181
O1 0.0000 0.0000 0.9255
O2 0.0341 0.1490 0.2908
O3 0.1087 0.2602 0.8949
O4 0.1636 0.6891 0.1840
O5 0.1831 0.8048 0.5372
O6 0.1980 0.5494 0.8056
O7 0.2304 0.9326 0.2013
O8 0.2696 0.4326 0.2013
O9 0.3020 0.0494 0.8056
O10 0.3169 0.3048 0.5372
O11 0.3364 0.1891 0.1840
O12 0.3913 0.7602 0.8949
O13 0.4659 0.6490 0.2908
O14 0.5000 0.5000 0.9255
O15 0.5341 0.3510 0.2908
O16 0.6087 0.2398 0.8949
O17 0.6636 0.8109 0.1840
O18 0.6831 0.6952 0.5372
O19 0.6980 0.9506 0.8056
O20 0.7304 0.5674 0.2013
O21 0.7696 0.0674 0.2013
O22 0.8020 0.4506 0.8056
O23 0.8169 0.1952 0.5372
O24 0.8364 0.3109 0.1840
O25 0.8913 0.7398 0.8949
O26 0.9659 0.8510 0.2908

Calculated values
* energy above the lowest structure with this stoichiometry: 0.0 kJ/mol of formula units
* raw formation energy: -1441 meV per atom
* magnetization: 0.00 μB/f.u.
* uncorrected energy: -15.70 eV/atom

=====

No. 6
A plane-wave DFT calculation with meta-GGA SCAN was carried out for Re2S2O13 at its PBEsol-relaxed geometry.

a = 7.5606 Å, b = 7.1823 Å, c = 17.0917 Å
α = 90.00°, β = 90.00°, γ = 90.00°
Element x y z (fractional)
Re1 0.2439 0.1545 0.1007
Re2 0.2439 0.1545 0.3993
Re3 0.2439 0.3455 0.6007
Re4 0.2439 0.3455 0.8993
Re5 0.7561 0.6545 0.1007
Re6 0.7561 0.6545 0.3993
Re7 0.7561 0.8455 0.6007
Re8 0.7561 0.8455 0.8993
S1 0.2740 0.6248 0.7500
S2 0.2740 0.8752 0.2500
S3 0.3727 0.7500 0.0000
S4 0.3727 0.7500 0.5000
S5 0.6273 0.2500 0.0000
S6 0.6273 0.2500 0.5000
S7 0.7260 0.1248 0.7500
S8 0.7260 0.3752 0.2500
O1 0.0290 0.1024 0.1214
O2 0.0290 0.1024 0.3786
O3 0.0290 0.3976 0.6214
O4 0.0290 0.3976 0.8786
O5 0.0846 0.6241 0.7500
O6 0.0846 0.8759 0.2500
O7 0.2034 0.2500 0.0000
O8 0.2034 0.2500 0.5000
O9 0.2556 0.6094 0.5353
O10 0.2556 0.6094 0.9647
O11 0.2556 0.8906 0.0353
O12 0.2556 0.8906 0.4647
O13 0.2737 0.1404 0.6484
O14 0.2737 0.1404 0.8516
O15 0.2737 0.3596 0.1484
O16 0.2737 0.3596 0.3516
O17 0.3445 0.5030 0.6800
O18 0.3445 0.5030 0.8200
O19 0.3445 0.9970 0.1800
O20 0.3445 0.9970 0.3200
O21 0.3721 0.7067 0.2500
O22 0.3721 0.7933 0.7500
O23 0.4849 0.6600 0.0606
O24 0.4849 0.6600 0.4394
O25 0.4849 0.8400 0.5606
O26 0.4849 0.8400 0.9394
O27 0.5151 0.1600 0.0606
O28 0.5151 0.1600 0.4394
O29 0.5151 0.3400 0.5606
O30 0.5151 0.3400 0.9394
O31 0.6279 0.2067 0.2500
O32 0.6279 0.2933 0.7500
O33 0.6555 0.0030 0.6800
O34 0.6555 0.0030 0.8200
O35 0.6555 0.4970 0.1800
O36 0.6555 0.4970 0.3200
O37 0.7263 0.6404 0.6484
O38 0.7263 0.6404 0.8516
O39 0.7263 0.8596 0.1484
O40 0.7263 0.8596 0.3516
O41 0.7444 0.1094 0.5353
O42 0.7444 0.1094 0.9647
O43 0.7444 0.3906 0.0353
O44 0.7444 0.3906 0.4647
O45 0.7966 0.7500 0.0000
O46 0.7966 0.7500 0.5000
O47 0.9154 0.1241 0.7500
O48 0.9154 0.3759 0.2500
O49 0.9710 0.6024 0.1214
O50 0.9710 0.6024 0.3786
O51 0.9710 0.8976 0.6214
O52 0.9710 0.8976 0.8786

Calculated values
* energy above the lowest structure with this stoichiometry: 9.7 kJ/mol of formula units
* raw formation energy: -1435 meV per atom
* magnetization: 0.08 μB/f.u.
* uncorrected energy: -15.70 eV/atom

=====

No. 7
A plane-wave DFT calculation with meta-GGA SCAN was carried out for TiRe2SO at its PBEsol-relaxed geometry.

a = 4.5781 Å, b = 4.5781 Å, c = 4.3172 Å
α = 90.00°, β = 90.00°, γ = 90.00°
Element x y z (fractional)
Ti1 0.0000 0.0000 0.0000
Re1 0.0000 0.5000 0.0000
Re2 0.5000 0.0000 0.0000
S1 0.0000 0.0000 0.5000
O1 0.5000 0.5000 0.5000

Calculated values
* raw formation energy: 2171 meV per atom
* magnetization: 1.70 μB/f.u.
* uncorrected energy: -32.65 eV/atom

=====

No. 8
A plane-wave DFT calculation with meta-GGA SCAN was carried out for ReSbO6 at its PBEsol-relaxed geometry.

a = 5.1244 Å, b = 7.2775 Å, c = 5.3219 Å
α = 90.00°, β = 90.04°, γ = 90.00°
Element x y z (fractional)
Re1 0.0000 0.0000 0.0000
Re2 0.0000 0.5000 0.0000
Sb1 0.5000 0.0000 0.5000
Sb2 0.5000 0.5000 0.5000
O1 0.0980 0.2500 0.9827
O2 0.1866 0.5533 0.7107
O3 0.1866 0.9467 0.7107
O4 0.2945 0.5541 0.1906
O5 0.2945 0.9459 0.1906
O6 0.3705 0.2500 0.4763
O7 0.6295 0.7500 0.5237
O8 0.7055 0.0541 0.8094
O9 0.7055 0.4459 0.8094
O10 0.8134 0.0533 0.2893
O11 0.8134 0.4467 0.2893
O12 0.9020 0.7500 0.0173

Calculated values
* raw formation energy: -1417 meV per atom
* magnetization: 0.00 μB/f.u.
* uncorrected energy: -19.64 eV/atom

=====

No. 9
A plane-wave DFT calculation with meta-GGA SCAN was carried out for Ta2ReSbO at its PBEsol-relaxed geometry.

a = 5.1173 Å, b = 5.1173 Å, c = 3.7589 Å
α = 90.00°, β = 90.00°, γ = 90.00°
Element x y z (fractional)
Ta1 0.0000 0.5000 0.0000
Ta2 0.5000 0.0000 0.0000
Re1 0.0000 0.0000 0.5000
Sb1 0.5000 0.5000 0.0000
O1 0.5000 0.5000 0.5000

Calculated values
* raw formation energy: 1616 meV per atom
* magnetization: 0.86 μB/f.u.
* uncorrected energy: -47.93 eV/atom

=====

No. 10
A plane-wave DFT calculation with meta-GGA SCAN was carried out for Sc3ReO at its PBEsol-relaxed geometry.

a = 4.2783 Å, b = 4.2783 Å, c = 4.2783 Å
α = 90.00°, β = 90.00°, γ = 90.00°
Element x y z (fractional)
Sc1 0.0000 0.0000 0.5000
Sc2 0.0000 0.5000 0.0000
Sc3 0.5000 0.0000 0.0000
Re1 0.5000 0.5000 0.5000
O1 0.0000 0.0000 0.0000

Calculated values
* raw formation energy: -1329 meV per atom
* magnetization: 0.00 μB/f.u.
* uncorrected energy: -25.34 eV/atom

=====

No. 11
A plane-wave DFT calculation with meta-GGA SCAN was carried out for Sc2Re2O at its PBEsol-relaxed geometry.

a = 4.9271 Å, b = 4.9271 Å, c = 4.9271 Å
α = 115.13°, β = 115.13°, γ = 98.67°
Element x y z (fractional)
Sc1 0.2500 0.7500 0.5000
Sc2 0.7500 0.2500 0.5000
Re1 0.1939 0.1939 0.0000
Re2 0.8061 0.8061 0.0000
O1 0.5000 0.5000 0.0000

Calculated values
* raw formation energy: 200 meV per atom
* magnetization: 0.00 μB/f.u.
* uncorrected energy: -35.18 eV/atom

=====

No. 12
A plane-wave DFT calculation with meta-GGA SCAN was carried out for Sc2ReSnO at its PBEsol-relaxed geometry.

a = 4.1522 Å, b = 4.1522 Å, c = 4.7165 Å
α = 90.00°, β = 90.00°, γ = 90.00°
Element x y z (fractional)
Sc1 0.0000 0.5000 0.0000
Sc2 0.5000 0.0000 0.0000
Re1 0.0000 0.0000 0.5000
Sn1 0.5000 0.5000 0.5000
O1 0.5000 0.5000 0.0000

Calculated values
* raw formation energy: -988 meV per atom
* magnetization: 0.79 μB/f.u.
* uncorrected energy: -29.33 eV/atom